[1]
DFT (GGA-PBE) results for Ba3YPa2O9 after structural relaxation.

```
Ba3YPa2O9
1.0
6.307 0.000 0.000
-3.154 5.462 0.000
0.000 0.000 7.738
Ba Y Pa O
3 1 2 9
direct
0.333 0.667 0.654
0.000 0.000 0.000
0.667 0.333 0.346
0.000 0.000 0.500
0.333 0.667 0.169
0.667 0.333 0.831
0.831 0.169 0.668
0.831 0.661 0.668
0.339 0.169 0.668
0.661 0.831 0.332
0.169 0.339 0.332
0.169 0.831 0.332
0.500 0.000 0.000
0.000 0.500 0.000
0.500 0.500 0.000
```

Computed properties:
- Formation energy (no corrections): -3.27 eV per atom

[2]
DFT (GGA-PBE) results for BaPaZn2O6 after structural relaxation.

```
BaPaZn2O6
1.0
5.762 0.000 0.000
2.881 4.990 0.000
2.881 1.663 5.965
Ba Pa Zn O
1 1 2 6
direct
0.000 0.000 0.000
0.500 0.500 0.500
0.771 0.771 0.686
0.229 0.229 0.314
0.108 0.458 0.711
0.722 0.108 0.711
0.542 0.278 0.289
0.892 0.542 0.289
0.278 0.892 0.289
0.458 0.722 0.711
```

Computed properties:
- Formation energy (no corrections): -2.27 eV per atom

[3]
DFT (GGA-PBE) results for BaPaZnO5 after structural relaxation.

```
BaPaZnO5
1.0
-0.640 5.175 3.402
-5.682 -1.856 -1.742
2.221 -5.635 5.526
Ba Pa Zn O
2 2 2 10
direct
0.331 0.669 0.250
0.669 0.331 0.750
0.000 0.000 0.500
0.000 0.000 0.000
0.688 0.312 0.250
0.312 0.688 0.750
0.067 0.933 0.250
0.933 0.067 0.750
0.890 0.290 0.098
0.110 0.710 0.902
0.710 0.110 0.402
0.290 0.890 0.598
0.756 0.639 0.404
0.244 0.361 0.596
0.361 0.244 0.096
0.639 0.756 0.904
```

Computed properties:
- Formation energy (no corrections): -2.58 eV per atom

[4]
DFT (GGA-PBE) results for BaPaZnO4 after structural relaxation.

```
BaPaZnO4
1.0
8.007 0.000 0.000
-4.004 5.403 -1.027
0.000 -3.828 6.296
Ba Pa Zn O
2 2 2 8
direct
0.917 0.834 0.167
0.083 0.166 0.833
0.500 0.000 0.500
0.500 0.000 0.000
0.500 0.500 0.500
0.000 0.500 0.500
0.756 0.512 0.701
0.305 0.948 0.224
0.642 0.948 0.224
0.756 0.512 0.310
0.244 0.488 0.690
0.695 0.052 0.776
0.358 0.052 0.776
0.244 0.488 0.299
```

Computed properties:
- Formation energy (no corrections): -2.55 eV per atom

[5]
DFT (GGA-PBE) results for Ba2ZrPaO6 after structural relaxation.

```
Ba2ZrPaO6
1.0
-2.263 1.705 -3.341
-3.430 -2.518 1.038
-3.033 6.304 5.271
Ba Zr Pa O
2 1 1 6
direct
0.000 0.000 0.726
0.000 0.000 0.274
0.500 0.500 0.500
0.500 0.500 0.000
0.500 0.000 0.000
0.500 0.000 0.500
0.000 0.500 0.000
0.000 0.500 0.500
0.500 0.500 0.743
0.500 0.500 0.257
```

Computed properties:
- Formation energy (no corrections): -3.19 eV per atom

[6]
DFT (GGA-PBE) results for Ba3Zr2PaO9 after structural relaxation.

```
Ba3Zr2PaO9
1.0
-2.399 -0.658 -5.588
5.836 -1.520 1.022
-2.126 -6.998 1.737
Ba Zr Pa O
3 2 1 9
direct
0.333 0.667 0.675
0.000 0.000 0.000
0.667 0.333 0.325
0.333 0.667 0.159
0.667 0.333 0.841
0.000 0.000 0.500
0.830 0.170 0.673
0.830 0.661 0.673
0.339 0.170 0.673
0.661 0.830 0.327
0.170 0.339 0.327
0.170 0.830 0.327
0.500 0.000 0.000
0.000 0.500 0.000
0.500 0.500 0.000
```

Computed properties:
- Formation energy (no corrections): -3.20 eV per atom

[7]
DFT (GGA-PBE) results for Ba3PbO after structural relaxation.

```
Ba3PbO
1.0
-2.582 -0.117 -4.915
2.899 -4.520 -1.416
-3.971 -3.225 2.163
Pb Ba O
1 3 1
direct
0.500 0.500 0.500
0.000 0.500 0.000
0.000 0.000 0.500
0.500 0.000 0.000
0.000 0.000 0.000
```

Computed properties:
- Formation energy (no corrections): -1.35 eV per atom
- Energy relative to the lowest polymorph listed for this composition: 0.000 eV per atom

[8]
DFT (GGA-PBE) results for Ba3Pb2O7 after structural relaxation.

```
Ba3Pb2O7
1.0
4.379 0.000 0.000
0.000 4.379 0.000
-2.190 -2.190 11.038
Ba Pb O
3 2 7
direct
0.316 0.316 0.631
0.684 0.684 0.369
0.500 0.500 0.000
0.099 0.099 0.198
0.901 0.901 0.802
0.000 0.000 0.000
0.902 0.402 0.805
0.402 0.902 0.805
0.098 0.598 0.195
0.598 0.098 0.195
0.198 0.198 0.395
0.802 0.802 0.605
```

Computed properties:
- Formation energy (no corrections): -1.84 eV per atom
- Energy relative to the lowest polymorph listed for this composition: 0.000 eV per atom

| no. | magnetic moment (μB per atom) | energy (eV per atom) | density (g/cm³) |
| --- | --- | --- | --- |
| 1 | 0.067 | -8.326 | 6.90 |
| 2 | 0.088 | -6.643 | 5.76 |
| 3 | 0.000 | -7.267 | 6.13 |
| 4 | 0.000 | -7.200 | 6.86 |
| 5 | 0.065 | -8.349 | 6.85 |
| 6 | 0.041 | -8.335 | 6.61 |
| 7 | 0.000 | -4.239 | 6.16 |
| 8 | 0.000 | -5.835 | 7.36 |